# 1
Entry from Alexandria: crystalline ScAlRh2 at its relaxed geometry (PBEsol).

Magnetic moment, μB per cell: 0.00
Calculated volume, Å³ per atom: 14.59
DFT formation energy, eV per atom: -1.03

The structure in CIF format:
```
data_ScAlRh2
_cell_length_a 3.0899
_cell_length_b 3.0899
_cell_length_c 6.1136
_cell_angle_alpha 90.00
_cell_angle_beta 90.00
_cell_angle_gamma 90.00
_space_group_name_H-M_alt 'P 4/m m m'
_space_group_IT_number 123
_space_group_name_Hall '-P 4 2'
loop_
_atom_site_label
_atom_site_type_symbol
_atom_site_fract_x
_atom_site_fract_y
_atom_site_fract_z
_atom_site_occupancy
Sc1 Sc 0.0000 0.0000 0.0000 1
Al1 Al 0.0000 0.0000 0.5000 1
Rh1 Rh 0.5000 0.5000 0.2657 1
```



# 2
Entry from Alexandria: crystalline YMn2W at its relaxed geometry (PBEsol).

Magnetic moment, μB per cell: 0.60
Calculated volume, Å³ per atom: 14.83
Energy above the lowest structure with this stoichiometry, meV/atom: 25.8
DFT formation energy, eV per atom: 0.42

The structure in CIF format:
```
data_YMn2W
_cell_length_a 4.4135
_cell_length_b 4.4135
_cell_length_c 3.0458
_cell_angle_alpha 90.00
_cell_angle_beta 90.00
_cell_angle_gamma 90.00
_space_group_name_H-M_alt 'P 4/m m m'
_space_group_IT_number 123
_space_group_name_Hall '-P 4 2'
loop_
_atom_site_label
_atom_site_type_symbol
_atom_site_fract_x
_atom_site_fract_y
_atom_site_fract_z
_atom_site_occupancy
Y1 Y 0.0000 0.0000 0.0000 1
Mn1 Mn 0.0000 0.5000 0.5000 1
W1 W 0.5000 0.5000 0.0000 1
```



Among the records above, which one has the highest DFT formation energy? YMn2W



Number 2 is which compound? YMn2W



The lowest magnetic moment belongs to which entry? ScAlRh2